(1)
Below is a relaxed NaTm2Hg6 crystal, with properties calculated at the GGA-PBE level.

a = 4.989 Å, b = 7.661 Å, c = 7.391 Å
α = 121.21°, β = 99.01°, γ = 90.00°
Fractional coordinates of all 9 atoms:
1 Hg 0.500 0.286 0.000
2 Hg 0.064 0.838 0.287
3 Hg 0.936 0.162 0.713
4 Hg 0.500 0.714 0.000
5 Hg 0.064 0.449 0.287
6 Hg 0.936 0.551 0.713
7 Tm 0.593 0.728 0.457
8 Tm 0.407 0.272 0.543
9 Na 0.000 0.000 0.000

Summary:
The total magnetic moment comes out at 0.00 μB/f.u. As for the formation energy: -166 meV per atom.

(2)
Below is a relaxed K2GeB2O6 crystal, with properties calculated at the GGA-PBE level.

a = 5.058 Å, b = 5.067 Å, c = 6.568 Å
α = 111.86°, β = 90.00°, γ = 119.94°
Fractional coordinates of all 11 atoms:
1 K 0.294 0.588 0.877
2 K 0.706 0.412 0.123
3 O 0.780 0.034 0.301
4 O 0.740 0.481 0.683
5 O 0.254 0.034 0.301
6 O 0.746 0.966 0.699
7 O 0.220 0.966 0.699
8 O 0.260 0.519 0.317
9 B 0.896 0.793 0.678
10 B 0.104 0.207 0.322
11 Ge 0.500 0.000 0.500

Summary:
The total magnetic moment comes out at 0.00 μB/f.u. As for the formation energy from raw total energies: -22.46 eV per formula unit.

(3)
Below is a relaxed Te3PdS crystal, with properties calculated at the GGA-PBE level.

a = 5.246 Å, b = 5.246 Å, c = 5.246 Å
α = 90.00°, β = 90.00°, γ = 90.00°
Fractional coordinates of all 5 atoms:
1 S 0.500 0.500 0.500
2 Te 0.500 0.000 0.000
3 Te 0.000 0.500 0.000
4 Te 0.000 0.000 0.500
5 Pd 0.000 0.000 0.000

Summary:
The total magnetic moment comes out at 0.00 μB/f.u. The value obtained for the excess energy over the best structure of this formula in the dataset is 0.000 eV per atom. As for the formation energy from raw total energies: 3.16 eV per formula unit.

- Look up the total magnetic moment of the second one.
  0.00 μB/f.u.